Record 1
Mg2AlBr | Alexandria | PBE | relaxed; formation energy from raw total energies = -0.10 eV per atom; total magnetic moment = 0.00 μB/cell; E above lowest polymorph = 0.242 eV per atom
1.0
-3.3792 -5.1439 0.5947
1.8232 -5.1810 -2.8400
1.1015 4.4572 4.1416
Al Br Mg
1 1 2
Cartesian
-0.7899 -5.2419 -1.1399
1.1092 -2.7052 0.1412
-0.0157 -0.1043 -0.0227
-1.5360 -2.9788 1.7950



Record 2
MgAl2Br | Alexandria | PBE | relaxed; formation energy from raw total energies = -0.04 eV per atom; total magnetic moment = 0.00 μB/cell
1.0
-1.2672 -5.5349 -1.7496
3.4142 -0.7851 0.0109
-0.3163 -1.2287 4.1162
Al Br Mg
2 1 1
Cartesian
3.0617 -1.9924 4.0852
1.5852 -1.0284 2.1053
0.1409 -3.2709 0.1569
1.6899 -4.2778 2.2204



Record 3
MgAl2Br | Alexandria | PBE | relaxed; formation energy from raw total energies = -0.02 eV per atom; total magnetic moment = 0.00 μB/cell
1.0
-5.3618 0.0853 0.8523
-4.2888 -2.6933 1.9585
0.7390 2.2240 4.8696
Al Br Mg
2 1 1
Cartesian
-9.3868 -2.3500 3.2030
-2.3067 -0.3425 1.3775
-4.4065 0.1051 4.5388
-6.9178 -0.5967 5.2120



Record 4
MgAl2Br | Alexandria | PBE | relaxed; formation energy from raw total energies = -0.12 eV per atom; total magnetic moment = 0.00 μB/cell
1.0
3.4192 0.0487 0.0000
-0.0482 3.4192 0.0000
0.0000 0.0000 7.9486
Al Br Mg
2 1 1
Cartesian
0.0000 0.0000 0.0432
1.6855 1.7340 1.3477
0.0000 0.0000 4.4788
1.6855 1.7340 6.0533



Record 5
MgAl2Br | Alexandria | PBE | relaxed; formation energy from raw total energies = 0.12 eV per atom; total magnetic moment = 0.00 μB/cell
1.0
-0.6418 -4.0070 3.3974
-1.8446 -3.0328 -3.9255
2.9631 -1.0001 -0.6198
Al Br Mg
2 1 1
Cartesian
0.0000 0.0000 0.0000
-1.2432 -3.5199 -0.2641
1.1607 -2.5035 1.3888
0.5593 -2.0164 -2.2726



Record 6
MgAl2Br4 | Alexandria | PBE | relaxed; formation energy from raw total energies = -0.61 eV per atom; total magnetic moment = 0.00 μB/cell
1.0
5.3231 0.0000 0.0000
0.0000 5.3231 0.0000
2.6615 2.6615 7.6919
Mg Al Br
1 2 4
Cartesian
0.0000 0.0000 0.0000
5.3231 5.3231 5.4991
2.6615 2.6615 2.1928
5.3231 5.3231 2.6883
2.6615 2.6615 5.0036
0.0000 2.6615 0.0000
2.6615 0.0000 0.0000



Record 7
MgAl3Br | Alexandria | PBE | relaxed; formation energy from raw total energies = 0.62 eV per atom; total magnetic moment = 0.00 μB/cell; E above lowest polymorph = 0.000 eV per atom
1.0
5.2899 0.0000 0.0000
0.0000 5.2899 0.0000
0.0000 0.0000 5.2899
Mg Al Br
1 3 1
Cartesian
0.0000 0.0000 0.0000
0.0000 2.6449 0.0000
0.0000 0.0000 2.6449
2.6449 0.0000 0.0000
2.6449 2.6449 2.6449



Record 8
Mg2AlBr | Alexandria | PBE | relaxed; formation energy from raw total energies = 0.14 eV per atom; total magnetic moment = 0.00 μB/cell; E above lowest polymorph = 0.483 eV per atom
1.0
0.0000 3.6681 3.6681
3.6681 0.0000 3.6681
3.6681 3.6681 0.0000
Mg Al Br
2 1 1
Cartesian
1.8340 1.8340 1.8340
5.5021 5.5021 5.5021
0.0000 0.0000 0.0000
3.6681 3.6681 3.6681



Record 9
MgAlNiBr2 | Alexandria | PBE | relaxed; formation energy from raw total energies = 0.25 eV per atom; total magnetic moment = 0.92 μB/cell
1.0
5.2516 0.0000 0.0000
0.0000 4.7002 0.0000
0.0000 0.0000 5.2516
Ni Mg Al Br
1 1 1 2
Cartesian
0.0000 2.3501 0.0000
2.6258 2.3501 2.6258
0.0000 0.0000 0.0000
0.0000 0.0000 2.6258
2.6258 0.0000 0.0000



Record 10
Mg2AlOsBr | Alexandria | PBE | relaxed; formation energy from raw total energies = 1.34 eV per atom; total magnetic moment = 3.56 μB/cell
1.0
-0.7242 4.8005 -2.0135
-3.2731 1.0624 3.7103
3.9424 1.8333 2.9529
Mg Os Al Br
2 1 1 1
Cartesian
1.9712 0.9167 1.4765
-0.3621 2.4002 -1.0068
-0.0275 3.8481 2.3249
0.0000 0.0000 0.0000
-1.6366 0.5312 1.8551



Record 11
MgAlPb2Br | Alexandria | PBE | relaxed; formation energy from raw total energies = 0.23 eV per atom; total magnetic moment = 0.00 μB/cell
1.0
-1.3585 0.5049 5.3873
-3.6199 -3.6721 -0.5687
3.7581 -3.9082 1.3139
Pb Mg Al Br
2 1 1 1
Cartesian
1.8791 -1.9541 0.6570
-0.6793 0.2524 2.6937
-0.6101 -3.5377 3.0663
0.0000 0.0000 0.0000
-1.8099 -1.8360 -0.2843



Record 12
Rb2MgAlBr6 | Alexandria | PBE | relaxed; formation energy from raw total energies = -1.32 eV per atom; total magnetic moment = 0.00 μB/cell
1.0
7.6585 0.0000 0.0000
0.0000 7.6585 0.0000
3.8292 3.8292 5.4246
Mg Br Rb Al
1 6 2 1
Cartesian
3.8292 3.8292 0.0000
3.8292 3.8292 2.7310
7.6585 7.6585 2.6936
1.9015 1.9015 0.0000
5.7569 5.7569 0.0000
5.7569 1.9015 0.0000
1.9015 5.7569 0.0000
7.6585 3.8292 2.7123
3.8292 7.6585 2.7123
0.0000 0.0000 0.0000



Record 13
MgScAlBr2 | Alexandria | PBE | relaxed; formation energy from raw total energies = -0.32 eV per atom; total magnetic moment = 0.00 μB/cell
1.0
-1.6850 -4.7960 -1.0522
5.4665 -1.5504 -1.6870
1.0898 -1.4500 4.8640
Sc Mg Al Br
1 1 1 2
Cartesian
0.0000 0.0000 0.0000
2.4356 -3.8982 1.0624
2.7332 -0.7752 -0.8435
0.5449 -0.7250 2.4320
-0.8425 -2.3980 -0.5261



Record 14
MnAlBr | Alexandria | PBE | relaxed; formation energy from raw total energies = 0.07 eV per atom; total magnetic moment = 3.29 μB/cell; E above lowest polymorph = 0.000 eV per atom
1.0
-3.1013 -0.6890 -0.9661
2.1078 -2.4683 0.7006
-1.7875 0.0851 5.6773
Mn Al Br
1 1 1
Cartesian
-0.8329 -1.8179 3.9703
-1.7177 0.0818 5.4556
-2.0178 -1.2510 1.6632



Record 15
Mn2AlBr | Alexandria | PBE | relaxed; formation energy from raw total energies = 0.18 eV per atom; total magnetic moment = 6.88 μB/cell; E above lowest polymorph = 0.069 eV per atom
1.0
-2.4166 1.9777 -0.1946
-0.5919 -1.0887 -3.7144
-4.1552 -5.0699 0.0760
Mn Al Br
2 1 1
Cartesian
-0.1743 -0.2783 -0.6644
-3.3881 -2.0359 -3.7680
-1.6008 -2.1484 -1.9554
-4.9659 -3.8862 -2.9787



Record 16
MnAlBr4 | Alexandria | PBE | relaxed; formation energy from raw total energies = -0.68 eV per atom; total magnetic moment = 4.08 μB/cell; E above lowest polymorph = 0.000 eV per atom
1.0
5.5623 0.0000 -3.0303
-1.6509 5.3117 -3.0303
0.2964 0.4025 7.1642
Mn Al Br
1 1 4
Cartesian
3.9072 1.5292 0.5518
1.9557 2.6558 -3.0303
0.9529 4.7127 -2.1170
4.0744 2.1144 -1.8953
0.6771 1.1958 4.4812
2.7112 3.4055 1.7382



Record 17
Mn2AlBr | Alexandria | PBE | relaxed; formation energy from raw total energies = 0.48 eV per atom; total magnetic moment = 15.97 μB/cell; E above lowest polymorph = 0.367 eV per atom
1.0
-0.1647 4.8571 -5.3750
-3.6543 -4.6980 -4.1333
-4.4154 1.1278 -3.7301
Mn Al Br
4 2 2
Cartesian
-1.6639 2.7406 -4.8199
-3.4080 -2.0574 -4.1764
-4.7360 0.9154 -6.3545
-6.6609 0.9752 -11.1262
-1.9095 0.0796 -4.7542
-4.9896 -1.7453 -6.3088
0.0000 0.0000 0.0000
-3.2448 3.0322 -6.9297



Record 18
MnAlBr4 | Alexandria | PBE | relaxed; formation energy from raw total energies = 0.69 eV per atom; total magnetic moment = 7.99 μB/cell; E above lowest polymorph = 1.366 eV per atom
1.0
0.0000 4.5630 4.5630
4.5630 0.0000 4.5630
4.5630 4.5630 0.0000
Mn Al Br
1 1 4
Cartesian
6.8444 6.8444 6.8444
0.0000 0.0000 0.0000
3.4208 5.7051 5.7051
5.7051 5.7051 3.4208
5.7051 3.4208 5.7051
3.4208 3.4208 3.4208



Record 19
Mn2AlBr | Alexandria | PBE | relaxed; formation energy from raw total energies = 0.22 eV per atom; total magnetic moment = 6.68 μB/cell; E above lowest polymorph = 0.102 eV per atom
1.0
6.6123 0.1809 -0.0130
4.6061 4.7475 0.0130
-5.3589 -3.0341 2.4151
Mn Al Br
2 1 1
Cartesian
0.1533 0.0674 0.0000
4.2694 0.1736 1.2010
5.1866 2.2785 0.0000
1.8594 1.8389 1.2140



Record 20
MnAlBr | Alexandria | PBE | relaxed; formation energy from raw total energies = 0.15 eV per atom; total magnetic moment = 3.86 μB/cell; E above lowest polymorph = 0.080 eV per atom
1.0
6.2532 -0.0104 0.0000
4.5744 4.2635 0.0000
-5.4138 -2.1265 2.2959
Mn Al Br
1 1 1
Cartesian
7.1207 2.7970 0.0000
0.4034 0.1585 0.0000
3.3035 1.2976 0.0000